[1]
A relaxed Pm2SmDySe4 crystal. Source: Alexandria via LeMat-Bulk, functional PBE.

Cell lengths 4.1053, 7.2505, 7.2310 Å; angles 71.20, 90.00, 90.00 degrees
With the nearest neighbours (Å) after each atom.
Fractional coordinates of all 8 atoms:
Pm1 0.0000 0.0000 0.0000  6 Se 2.99
Pm2 0.5000 0.0000 0.5000  6 Se 2.95
Sm1 0.5000 0.5000 0.0000  6 Se 2.93-2.94
Dy1 0.0000 0.5000 0.5000  6 Se 2.89-2.90
Se1 0.0000 0.7446 0.7476  1 Dy 2.90, 2 Sm 2.93, 3 Pm 2.95-2.99
Se2 0.0000 0.2554 0.2524  1 Dy 2.90, 2 Sm 2.93, 3 Pm 2.95-2.99
Se3 0.5000 0.7414 0.2572  2 Dy 2.89, 1 Sm 2.94, 3 Pm 2.95-2.99
Se4 0.5000 0.2586 0.7428  2 Dy 2.89, 1 Sm 2.94, 3 Pm 2.95-2.99

The calculated volume comes out at 25.5 Å³ per atom. As for the formation energy from raw total energies: -1.81 eV/atom.

[2]
A relaxed Ac8Ir2Rh3 crystal. Source: Alexandria via LeMat-Bulk, functional PBE.

Cell lengths 7.2855, 8.3644, 8.8930 Å; angles 118.05, 106.26, 90.00 degrees
With the nearest neighbours (Å) after each atom.
Fractional coordinates of all 13 atoms:
Ac1 0.1156 0.3875 0.7750  2 Rh 2.94, 1 Ir 2.96
Ac2 0.8844 0.6125 0.2250  2 Rh 2.94, 1 Ir 2.96
Ac3 0.0769 0.8872 0.7743  3 Rh 3.00-3.03, 1 Ir 3.10
Ac4 0.9231 0.1128 0.2257  3 Rh 3.00-3.03, 1 Ir 3.10
Ac5 0.4080 0.8802 0.2442  2 Rh 2.99-3.00, 2 Ir 3.09-3.10
Ac6 0.4080 0.3639 0.2442  2 Rh 2.99-3.00, 2 Ir 3.09-3.10
Ac7 0.5920 0.6361 0.7558  2 Rh 2.99-3.00, 2 Ir 3.09-3.10
Ac8 0.5920 0.1198 0.7558  2 Rh 2.99-3.00, 2 Ir 3.09-3.10
Ir1 0.6690 0.7441 0.4882  6 Ac 2.96-3.10
Ir2 0.3310 0.2559 0.5118  6 Ac 2.96-3.10
Rh1 0.5000 0.0000 0.0000  6 Ac 3.00-3.03
Rh2 0.0000 0.2653 0.0000  6 Ac 2.94-3.00
Rh3 0.0000 0.7347 0.0000  6 Ac 2.94-3.00

The value obtained for the energy of formation is -52.7 kJ per mole of atoms. The calculated volume comes out at 34.9 Å³ per atom.

[3]
A relaxed YV3Pb crystal. Source: Alexandria via LeMat-Bulk, functional PBE.

Cell lengths 5.1262, 5.1262, 5.1262 Å; angles 90.00, 90.00, 90.00 degrees
With the nearest neighbours (Å) after each atom.
Fractional coordinates of all 5 atoms:
Pb1 0.0000 0.0000 0.0000  6 V 2.56
Y1 0.5000 0.5000 0.5000  12 V 3.62
V1 0.0000 0.5000 0.0000  2 Pb 2.56
V2 0.0000 0.0000 0.5000  2 Pb 2.56
V3 0.5000 0.0000 0.0000  2 Pb 2.56

Its distance to the lowest polymorph of the same formula is 0 meV/atom. The value obtained for the energy of formation is 130.4 kJ per mole of atoms. The calculated volume comes out at 26.9 Å³ per atom.